Here is a relaxed Hf2MoO crystal from Alexandria via LeMat-Bulk. Energies are from PBE with a Hubbard U.

Results
Raw total energy in eV per atom: -8.532
Volume in Å³ per cell: 153
Density of states at the Fermi level in states/eV/f.u.: 2.89

Cell: 5.8604 5.8604 5.8604 Å, 113.04 113.04 102.54°
With the nearest neighbours (Å) after each atom.
Sites, in units of the cell vectors:
Hf 0.0159 0.6250 0.8909  2 O 2.07
Hf 0.3750 0.2659 0.3909  2 O 2.07
Hf 0.7341 0.1250 0.1091  2 O 2.07
Hf 0.8750 0.9841 0.6091  2 O 2.07
Mo 0.2500 0.7500 0.5000  8 Hf 2.97-3.32
Mo 0.5000 0.5000 0.0000  8 Hf 2.97-3.32
O 0.0000 0.0000 0.0000  4 Hf 2.07
O 0.7500 0.2500 0.5000  4 Hf 2.07